A geometry-optimized Pm3HoIr3 structure. Source: Alexandria, functional PBE-GGA.

## Properties
excess energy over the best structure of this formula in the dataset	0.055	eV per atom
V	173	Å³/f.u.
formation energy from the elements	-0.588	eV/atom
N(E_F)	15.35	states/eV/cell

a b c (Å): 10.7539 9.6738 6.7878
angles (deg): 90.00 101.09 90.00
Closest atoms and distances in Å follow each position.
Space group C2/m (No. 12)
One atom of each set of equivalent atoms:
Pm  0.0000  0.1907  0.0000 [4 per cell]  4 Ir 2.83-2.98
Pm  0.0000  0.2748  0.5000 [4 per cell]  4 Ir 2.87-3.02
Pm  0.2016  0.5000  0.0075 [4 per cell]  5 Ir 2.93-3.10
Ho  0.2159  0.0000  0.4518 [4 per cell]  4 Ir 2.71-2.89
Ir  0.0532  0.0000  0.7119 [4 per cell]  2 Ho 2.71-2.89, 5 Pm 2.83-3.02, 1 Ir 2.88
Ir  0.2475  0.2492  0.7459 [8 per cell]  2 Ho 2.84-3.11, 4 Pm 2.87-3.10, 1 Ir 3.17